Entry 1:
# NdMg8Rh4 (GGA-PBE, relaxed)
data_NdMg8Rh4
_symmetry_space_group_name_H-M 'P 1'
_symmetry_Int_Tables_number 1
_cell_length_a 5.7787
_cell_length_b 7.1238
_cell_length_c 7.1238
_cell_angle_alpha 80.53
_cell_angle_beta 66.07
_cell_angle_gamma 66.07
loop_
_symmetry_equiv_pos_as_xyz
'x,y,z'
loop_
_atom_site_label
_atom_site_type_symbol
_atom_site_fract_x
_atom_site_fract_y
_atom_site_fract_z
_atom_site_occupancy
Mg1 Mg 0.7235 0.7765 0.7765 1
Mg2 Mg 0.2765 0.2235 0.2235 1
Rh1 Rh 0.0000 0.0000 0.5000 1
Mg3 Mg 0.0000 0.6673 0.3327 1
Rh2 Rh 0.5000 0.0000 0.5000 1
Rh3 Rh 0.5000 0.5000 0.0000 1
Rh4 Rh 0.0000 0.5000 0.0000 1
Nd1 Nd 0.0000 0.0000 0.0000 1
Mg4 Mg 0.6673 0.3327 0.3327 1
Mg5 Mg 0.5000 0.7765 0.2235 1
Mg6 Mg 0.3327 0.6673 0.6673 1
Mg7 Mg 0.0000 0.3327 0.6673 1
Mg8 Mg 0.5000 0.2235 0.7765 1
# DFT total energy (eV per cell): -51.85
# Crystal system: tetragonal
# Volume (Å³ per atom): 18.85
# Energy of formation from the pure elements (eV/atom): -0.3784

Entry 2:
# CsPrSnI6 (GGA-PBE, relaxed)
data_CsPrSnI6
_symmetry_space_group_name_H-M 'P 1'
_symmetry_Int_Tables_number 1
_cell_length_a 8.2737
_cell_length_b 8.2738
_cell_length_c 8.4342
_cell_angle_alpha 90.00
_cell_angle_beta 90.00
_cell_angle_gamma 60.00
loop_
_symmetry_equiv_pos_as_xyz
'x,y,z'
loop_
_atom_site_label
_atom_site_type_symbol
_atom_site_fract_x
_atom_site_fract_y
_atom_site_fract_z
_atom_site_occupancy
Cs1 Cs 0.0000 0.0000 0.0000 1
I1 I 0.6200 0.3760 0.7189 1
Pr1 Pr 0.3333 0.3334 0.5000 1
I2 I 0.0040 0.3760 0.2811 1
I3 I 0.0039 0.6200 0.7188 1
I4 I 0.6200 0.0040 0.2811 1
I5 I 0.3759 0.0040 0.7188 1
Sn1 Sn 0.6666 0.6666 0.5000 1
I6 I 0.3760 0.6200 0.2811 1
# Formation energy without anion corrections (eV per atom): -1.1632
# DFT total energy (eV per cell): -29.41
# Crystal system: trigonal
# Volume (Å³ per atom): 55.55

Entry 3:
# YMgBiBr2 (GGA-PBE, relaxed)
data_YMgBiBr2
_symmetry_space_group_name_H-M 'P 1'
_symmetry_Int_Tables_number 1
_cell_length_a 5.7507
_cell_length_b 6.2776
_cell_length_c 5.7507
_cell_angle_alpha 90.00
_cell_angle_beta 90.00
_cell_angle_gamma 90.00
loop_
_symmetry_equiv_pos_as_xyz
'x,y,z'
loop_
_atom_site_label
_atom_site_type_symbol
_atom_site_fract_x
_atom_site_fract_y
_atom_site_fract_z
_atom_site_occupancy
Bi1 Bi 0.0000 0.0000 0.0000 1
Br1 Br 0.0000 0.0000 0.5000 1
Y1 Y 0.0000 0.5000 0.0000 1
Mg1 Mg 0.5000 0.5000 0.5000 1
Br2 Br 0.5000 0.0000 0.0000 1
# Formation energy without anion corrections (eV per atom): 0.0472
# DFT total energy (eV per cell): -15.05
# Crystal system: tetragonal
# Volume (Å³ per atom): 41.52

Entry 4:
# Ca2CoOs (GGA-PBE, relaxed)
data_Ca2CoOs
_symmetry_space_group_name_H-M 'P 1'
_symmetry_Int_Tables_number 1
_cell_length_a 5.7328
_cell_length_b 5.7328
_cell_length_c 5.2852
_cell_angle_alpha 69.99
_cell_angle_beta 69.99
_cell_angle_gamma 29.56
loop_
_symmetry_equiv_pos_as_xyz
'x,y,z'
loop_
_atom_site_label
_atom_site_type_symbol
_atom_site_fract_x
_atom_site_fract_y
_atom_site_fract_z
_atom_site_occupancy
Co1 Co 0.4578 0.4578 0.4755 1
Ca1 Ca 0.2215 0.2215 0.3183 1
Ca2 Ca 0.0253 0.0253 0.9390 1
Os1 Os 0.7954 0.7954 0.7673 1
# E above lowest polymorph (meV per atom): 261
# DFT total energy (eV per cell): -20.77
# Crystal system: monoclinic
# Volume (Å³ per atom): 20.04
# Energy of formation from the pure elements (eV/atom): 0.3927